(1)
First-principles (PBE) data for an optimized crystal structure of Tm2AgSe3, as listed in OQMD.

Results
Theoretical density: 8.3 g cm⁻³
Total magnetization: 0.02 μB/f.u.
Energy above the lowest structure with this stoichiometry: 0 meV/atom

Cell and atoms, written as CIF:
```
data_Tm2AgSe3
_space_group_name_H-M_alt 'P n m a'
_space_group_IT_number 62
_space_group_name_Hall '-P 2ac 2n'
_cell_length_a 10.3408
_cell_length_b 3.9050
_cell_length_c 13.5575
_cell_angle_alpha 90.00
_cell_angle_beta 90.00
_cell_angle_gamma 90.00
loop_
_atom_site_label
_atom_site_type_symbol
_atom_site_fract_x
_atom_site_fract_y
_atom_site_fract_z
Tm1 Tm 0.0183 0.2500 0.2462
Tm2 Tm 0.2236 0.7500 0.5266
Ag1 Ag 0.2325 0.2500 0.7322
Se1 Se 0.0383 0.2500 0.6027
Se2 Se 0.0846 0.7500 0.1000
Se3 Se 0.2359 0.7500 0.8674
```

(2)
First-principles (PBE) data for an optimized crystal structure of AgW3Se5, as listed in OQMD.

Results
Electronic total energy: -57.3 eV/f.u.
Theoretical density: 8.5 g cm⁻³
Total magnetization: 1.22 μB/f.u.

Cell and atoms, written as CIF:
```
data_AgW3Se5
_space_group_name_H-M_alt 'P 6/m m m'
_space_group_IT_number 191
_space_group_name_Hall '-P 6 2'
_cell_length_a 5.6280
_cell_length_b 5.6280
_cell_length_c 7.4737
_cell_angle_alpha 90.00
_cell_angle_beta 90.00
_cell_angle_gamma 120.00
loop_
_atom_site_label
_atom_site_type_symbol
_atom_site_fract_x
_atom_site_fract_y
_atom_site_fract_z
Ag1 Ag 0.0000 0.0000 0.0000
W1 W 0.0000 0.5000 0.5000
Se1 Se 0.0000 0.0000 0.5000
Se2 Se 0.3333 0.6667 0.2298
```

(3)
First-principles (PBE) data for an optimized crystal structure of YAgSe2, as listed in OQMD.

Results
Electronic total energy: -21.1 eV/f.u.
Theoretical density: 5.9 g cm⁻³
Total magnetization: 0.00 μB/f.u.

Cell and atoms, written as CIF:
```
data_YAgSe2
_space_group_name_H-M_alt 'P 21 21 21'
_space_group_IT_number 19
_space_group_name_Hall 'P 2ac 2ab'
_cell_length_a 4.2576
_cell_length_b 6.8284
_cell_length_c 13.8291
_cell_angle_alpha 90.00
_cell_angle_beta 90.00
_cell_angle_gamma 90.00
loop_
_atom_site_label
_atom_site_type_symbol
_atom_site_fract_x
_atom_site_fract_y
_atom_site_fract_z
Y1 Y 0.2224 0.2066 0.3732
Ag1 Ag 0.0043 0.7044 0.3724
Se1 Se 0.2231 0.0899 0.7264
Se2 Se 0.2292 0.4925 0.5263
```

(4)
First-principles (PBE) data for an optimized crystal structure of YAgSe2, as listed in OQMD.

Results
Electronic total energy: -21.1 eV/f.u.
Theoretical density: 5.6 g cm⁻³
Total magnetization: 0.00 μB/f.u.

Cell and atoms, written as CIF:
```
data_YAgSe2
_space_group_name_H-M_alt 'C 1 m 1'
_space_group_IT_number 8
_space_group_name_Hall 'C -2y'
_cell_length_a 7.2832
_cell_length_b 4.2035
_cell_length_c 6.9287
_cell_angle_alpha 90.00
_cell_angle_beta 90.14
_cell_angle_gamma 90.00
loop_
_atom_site_label
_atom_site_type_symbol
_atom_site_fract_x
_atom_site_fract_y
_atom_site_fract_z
Y1 Y 0.0000 0.0000 0.0000
Ag1 Ag 0.3350 0.0000 0.4142
Se1 Se 0.1674 0.5000 0.2382
Se2 Se 0.3328 0.0000 0.7876
```

(5)
First-principles (PBE) data for an optimized crystal structure of Zr3AgSe5, as listed in OQMD.

Results
Electronic total energy: -52.7 eV/f.u.
Theoretical density: 5.2 g cm⁻³
Total magnetization: 0.01 μB/f.u.

Cell and atoms, written as CIF:
```
data_Zr3AgSe5
_space_group_name_H-M_alt 'P 6/m m m'
_space_group_IT_number 191
_space_group_name_Hall '-P 6 2'
_cell_length_a 6.2350
_cell_length_b 6.2350
_cell_length_c 7.3009
_cell_angle_alpha 90.00
_cell_angle_beta 90.00
_cell_angle_gamma 120.00
loop_
_atom_site_label
_atom_site_type_symbol
_atom_site_fract_x
_atom_site_fract_y
_atom_site_fract_z
Zr1 Zr 0.0000 0.5000 0.0000
Ag1 Ag 0.0000 0.0000 0.5000
Se1 Se 0.0000 0.0000 0.0000
Se2 Se 0.3333 0.6667 0.2731
```

(6)
First-principles (PBE) data for an optimized crystal structure of SiAg, as listed in OQMD.

Results
Theoretical density: 6.8 g cm⁻³
Energy above the lowest structure with this stoichiometry: 0 meV/atom

Cell and atoms, written as CIF:
```
data_SiAg
_space_group_name_H-M_alt 'P -6 m 2'
_space_group_IT_number 187
_space_group_name_Hall 'P -6 2'
_cell_length_a 2.8645
_cell_length_b 2.8645
_cell_length_c 4.6743
_cell_angle_alpha 90.00
_cell_angle_beta 90.00
_cell_angle_gamma 120.00
loop_
_atom_site_label
_atom_site_type_symbol
_atom_site_fract_x
_atom_site_fract_y
_atom_site_fract_z
Si1 Si 0.0000 0.0000 0.0000
Ag1 Ag 0.3333 0.6667 0.5000
```

(7)
First-principles (PBE) data for an optimized crystal structure of Si5Ag2, as listed in OQMD.

Results
Electronic total energy: -29.1 eV/f.u.
Theoretical density: 4.9 g cm⁻³

Cell and atoms, written as CIF:
```
data_Si5Ag2
_space_group_name_H-M_alt 'R 3 m'
_space_group_IT_number 160
_space_group_name_Hall 'R 3 -2"'
_cell_length_a 4.4595
_cell_length_b 4.4595
_cell_length_c 21.0850
_cell_angle_alpha 90.00
_cell_angle_beta 90.00
_cell_angle_gamma 120.00
loop_
_atom_site_label
_atom_site_type_symbol
_atom_site_fract_x
_atom_site_fract_y
_atom_site_fract_z
Si1 Si 0.0000 0.0000 0.0000
Si2 Si 0.0000 0.0000 0.1208
Si3 Si 0.0000 0.0000 0.2469
Si4 Si 0.0000 0.0000 0.4980
Si5 Si 0.0000 0.0000 0.6185
Ag1 Ag 0.0000 0.0000 0.3775
Ag2 Ag 0.0000 0.0000 0.8550
```

(8)
First-principles (PBE) data for an optimized crystal structure of SiAg, as listed in OQMD.

Results
Theoretical density: 6.5 g cm⁻³
Energy above the lowest structure with this stoichiometry: 70 meV/atom

Cell and atoms, written as CIF:
```
data_SiAg
_space_group_name_H-M_alt 'P m -3 m'
_space_group_IT_number 221
_space_group_name_Hall '-P 4 2 3'
_cell_length_a 3.2551
_cell_length_b 3.2551
_cell_length_c 3.2551
_cell_angle_alpha 90.00
_cell_angle_beta 90.00
_cell_angle_gamma 90.00
loop_
_atom_site_label
_atom_site_type_symbol
_atom_site_fract_x
_atom_site_fract_y
_atom_site_fract_z
Si1 Si 0.0000 0.0000 0.0000
Ag1 Ag 0.5000 0.5000 0.5000
```

Which of these has the highest theoretical density? AgW3Se5

The highest theoretical density belongs to which entry? AgW3Se5

theoretical density of number 6 (SiAg)? 6.8 g cm⁻³